# CeNd2S3 (PBE, relaxed)
data_CeNd2S3
_cell_length_a 4.052
_cell_length_b 5.739
_cell_length_c 12.172
_cell_angle_alpha 90.00
_cell_angle_beta 90.00
_cell_angle_gamma 90.00
_symmetry_space_group_name_H-M 'I m m m'
_symmetry_Int_Tables_number 71
_symmetry_space_group_name_Hall '-I 2 2'
loop_
_atom_site_label
_atom_site_type_symbol
_atom_site_fract_x
_atom_site_fract_y
_atom_site_fract_z
Ce1 Ce 0.000 0.000 0.000
Nd1 Nd 0.000 0.000 0.331
S1 S 0.000 0.500 0.000
S2 S 0.000 0.500 0.336
# DOS(E_F) in states/eV/f.u.: 6.716
# ΔE_f (raw) in eV per atom: -2.04
# Total magnetization in μB/cell: 1.65
# V in A^3/atom: 23.59
# Crystal system: orthorhombic
# E in eV per cell: -80.14



# Zr2CdAu (PBE, relaxed)
data_Zr2CdAu
_cell_length_a 3.1315
_cell_length_b 3.1315
_cell_length_c 30.2253
_cell_angle_alpha 90.00
_cell_angle_beta 90.00
_cell_angle_gamma 120.00
_symmetry_space_group_name_H-M 'R -3 m'
_symmetry_Int_Tables_number 166
_symmetry_space_group_name_Hall '-R 3 2"'
loop_
_atom_site_label
_atom_site_type_symbol
_atom_site_fract_x
_atom_site_fract_y
_atom_site_fract_z
Zr1 Zr 0.0000 0.0000 0.2456
Cd1 Cd 0.0000 0.0000 0.0000
Au1 Au 0.0000 0.0000 0.5000
# DOS(E_F) in states/eV/f.u.: 3.572
# Energy relative to the elements in eV per atom: -0.122
# Total magnetization in μB/cell: 0.00
# V in A^3/atom: 21.39
# Crystal system: trigonal
# E in eV per cell: -65.33



# InCo2Os (PBE, relaxed)
data_InCo2Os
_cell_length_a 2.755
_cell_length_b 2.755
_cell_length_c 7.256
_cell_angle_alpha 90.00
_cell_angle_beta 90.00
_cell_angle_gamma 90.00
_symmetry_space_group_name_H-M 'P 4/m m m'
_symmetry_Int_Tables_number 123
_symmetry_space_group_name_Hall '-P 4 2'
loop_
_atom_site_label
_atom_site_type_symbol
_atom_site_fract_x
_atom_site_fract_y
_atom_site_fract_z
In1 In 0.000 0.000 0.000
Co1 Co 0.500 0.500 0.274
Os1 Os 0.000 0.000 0.500
# DOS(E_F) in states/eV/f.u.: 3.531
# Energy relative to the elements in eV per atom: 0.202
# Total magnetization in μB/cell: 0.42
# V in A^3/atom: 13.77
# Crystal system: tetragonal
# E in eV per cell: -27.37



# CaZr2Cr (PBE, relaxed)
data_CaZr2Cr
_cell_length_a 3.245
_cell_length_b 3.245
_cell_length_c 9.021
_cell_angle_alpha 90.00
_cell_angle_beta 90.00
_cell_angle_gamma 90.00
_symmetry_space_group_name_H-M 'P 4/m m m'
_symmetry_Int_Tables_number 123
_symmetry_space_group_name_Hall '-P 4 2'
loop_
_atom_site_label
_atom_site_type_symbol
_atom_site_fract_x
_atom_site_fract_y
_atom_site_fract_z
Ca1 Ca 0.000 0.000 0.000
Zr1 Zr 0.500 0.500 0.331
Cr1 Cr 0.000 0.000 0.500
# DOS(E_F) in states/eV/f.u.: 4.060
# E above lowest polymorph in eV per formula unit: 0.00
# Energy relative to the elements in eV per atom: 0.242
# Total magnetization in μB/cell: 0.25
# V in A^3/atom: 23.75
# Crystal system: tetragonal
# E in eV per cell: -27.75



# BaZrCl2 (PBE, relaxed)
data_BaZrCl2
_cell_length_a 3.519
_cell_length_b 4.812
_cell_length_c 6.916
_cell_angle_alpha 90.00
_cell_angle_beta 90.00
_cell_angle_gamma 90.00
_symmetry_space_group_name_H-M 'P m m m'
_symmetry_Int_Tables_number 47
loop_
_symmetry_equiv_pos_as_xyz
'x,y,z'
'-x,-y,-z'
'-x,-y,z'
'x,y,-z'
'x,-y,-z'
'-x,y,z'
'-x,y,-z'
'x,-y,z'
loop_
_atom_site_label
_atom_site_type_symbol
_atom_site_fract_x
_atom_site_fract_y
_atom_site_fract_z
Ba1 Ba 0.000 0.000 0.000
Zr1 Zr 0.500 0.000 0.500
Cl1 Cl 0.000 0.500 0.500
Cl2 Cl 0.500 0.500 0.000
# DOS(E_F) in states/eV/f.u.: 3.252
# E above lowest polymorph in eV per formula unit: 1.00
# ΔE_f (raw) in eV per atom: -0.81
# Total magnetization in μB/cell: 1.20
# V in A^3/atom: 29.28
# Crystal system: orthorhombic
# E in eV per cell: -17.42



# LaTh3Ge4 (PBE, relaxed)
data_LaTh3Ge4
_cell_length_a 7.509
_cell_length_b 8.618
_cell_length_c 7.499
_cell_angle_alpha 90.00
_cell_angle_beta 109.36
_cell_angle_gamma 90.00
_symmetry_space_group_name_H-M 'P 1 2/c 1'
_symmetry_Int_Tables_number 13
loop_
_symmetry_equiv_pos_as_xyz
'x,y,z'
'-x,-y,-z'
'-x,y,-z+1/2'
'x,-y,z+1/2'
loop_
_atom_site_label
_atom_site_type_symbol
_atom_site_fract_x
_atom_site_fract_y
_atom_site_fract_z
La1 La 0.000 0.125 0.250
Th1 Th 0.000 0.375 0.750
Th2 Th 0.500 0.125 0.750
Th3 Th 0.500 0.376 0.250
Ge1 Ge 0.252 0.378 0.503
Ge2 Ge 0.256 0.128 0.999
# DOS(E_F) in states/eV/f.u.: 4.868
# Energy relative to the elements in eV per atom: -0.748
# Total magnetization in μB/cell: 0.00
# V in A^3/atom: 28.61
# Crystal system: monoclinic
# E in eV per cell: -103.27